# GGA-PBE Sr8CaHg2, relaxed
data_Sr8CaHg2
_cell_length_a 5.671
_cell_length_b 9.054
_cell_length_c 10.847
_cell_angle_alpha 112.05
_cell_angle_beta 105.15
_cell_angle_gamma 90.00
_space_group_name_H-M_alt 'P 1'
_space_group_IT_number 1
_space_group_name_Hall 'P 1'
loop_
_atom_site_label
_atom_site_type_symbol
_atom_site_fract_x
_atom_site_fract_y
_atom_site_fract_z
Sr1 Sr 0.317 0.043 0.634
Ca1 Ca 0.500 0.000 0.000
Sr2 Sr 0.815 0.704 0.629
Sr3 Sr 0.185 0.296 0.371
Sr4 Sr 0.683 0.957 0.366
Sr5 Sr 0.399 0.509 0.799
Sr6 Sr 0.042 0.755 0.085
Hg1 Hg 0.811 0.314 0.622
Sr7 Sr 0.958 0.245 0.915
Hg2 Hg 0.189 0.686 0.378
Sr8 Sr 0.601 0.491 0.201
# formation energy from the elements: -162 meV/atom
# magnetization: 0.0 μB per formula unit
# total DFT energy (no corrections): -1.622 eV per atom



# GGA-PBE Sr3CaHg4, relaxed
data_Sr3CaHg4
_cell_length_a 5.636
_cell_length_b 7.774
_cell_length_c 11.265
_cell_angle_alpha 90.00
_cell_angle_beta 90.00
_cell_angle_gamma 90.00
_space_group_name_H-M_alt 'P 1'
_space_group_IT_number 1
_space_group_name_Hall 'P 1'
loop_
_atom_site_label
_atom_site_type_symbol
_atom_site_fract_x
_atom_site_fract_y
_atom_site_fract_z
Sr1 Sr 0.000 0.000 0.000
Sr2 Sr 0.000 0.000 0.500
Sr3 Sr 0.499 0.000 0.750
Hg1 Hg 0.999 0.259 0.750
Hg2 Hg 0.001 0.741 0.250
Hg3 Hg 0.500 0.259 0.000
Hg4 Hg 0.500 0.741 0.000
Hg5 Hg 0.500 0.741 0.500
Sr4 Sr 0.501 0.000 0.250
Hg6 Hg 0.001 0.259 0.250
Sr5 Sr 0.500 0.500 0.250
Hg7 Hg 0.500 0.259 0.500
Ca1 Ca 0.000 0.500 0.000
Ca2 Ca 0.000 0.500 0.500
Hg8 Hg 0.999 0.741 0.750
Sr6 Sr 0.500 0.500 0.750
# formation energy from the elements: -527 meV/atom
# magnetization: 0.0 μB per formula unit
# total DFT energy (no corrections): -1.558 eV per atom



# GGA-PBE Sr2CaHg, relaxed
data_Sr2CaHg
_cell_length_a 4.483
_cell_length_b 4.730
_cell_length_c 8.407
_cell_angle_alpha 73.56
_cell_angle_beta 90.00
_cell_angle_gamma 90.00
_space_group_name_H-M_alt 'P 1'
_space_group_IT_number 1
_space_group_name_Hall 'P 1'
loop_
_atom_site_label
_atom_site_type_symbol
_atom_site_fract_x
_atom_site_fract_y
_atom_site_fract_z
Sr1 Sr 0.500 0.318 0.238
Ca1 Ca 0.000 0.672 0.529
Hg1 Hg 0.500 0.532 0.812
Sr2 Sr 0.000 0.977 0.921
# formation energy from the elements: -219 meV/atom
# magnetization: 0.0 μB per formula unit
# total DFT energy (no corrections): -1.636 eV per atom



- Number 3 is which compound?
  Sr2CaHg



- Number 1 is which compound?
  Sr8CaHg2